[1]
## Pr4AsP2S (PBE)

Data for crystalline Pr4AsP2S at its relaxed geometry.

a = 7.281 Å, b = 4.210 Å, c = 7.299 Å
α = 90.00°, β = 109.38°, γ = 90.00°
Space group P2/m (No. 10)
Unique sites:
Pr  0.247  0.000  0.244 [2 per cell]
Pr  0.252  0.500  0.757 [2 per cell]
As  0.500  0.500  0.500 [1 per cell]
P  0.000  0.500  0.000 [1 per cell]
P  0.500  0.000  0.000 [1 per cell]
S  0.000  0.000  0.500 [1 per cell]

Computed properties:
The raw total energy is -6.527 eV/atom. The calculation puts the volume at 26.384 A^3/atom. The spin magnetization is 0.0 μB per cell.

[2]
## K2V2AgS6 (PBE)

Data for crystalline K2V2AgS6 at its relaxed geometry.

a = 7.1493 Å, b = 7.1493 Å, c = 20.5215 Å
α = 90.00°, β = 90.00°, γ = 120.00°
Space group R-3m (No. 166, hexagonal axes)
Unique sites:
K  0.0000  0.0000  0.2350 [6 per cell]
V  0.0000  0.0000  0.4352 [6 per cell]
Ag  0.0000  0.0000  0.0000 [3 per cell]
S  0.0028  0.5014  0.7489 [18 per cell]

Computed properties:
The raw total energy is -4.974 eV/atom. The calculation puts the volume at 27.526 A^3/atom. The spin magnetization is 0.7 μB per cell.

[3]
## Li3ZrNp2Te6 (PBE)

Data for crystalline Li3ZrNp2Te6 at its relaxed geometry.

a = 7.372 Å, b = 12.771 Å, c = 7.518 Å
α = 90.00°, β = 109.08°, γ = 90.00°
Space group C2/m (No. 12)
Unique sites:
Li  0.000  0.000  0.000 [2 per cell]
Li  0.000  0.332  0.000 [4 per cell]
Zr  0.000  0.500  0.500 [2 per cell]
Np  0.000  0.167  0.500 [4 per cell]
Te  0.235  0.500  0.244 [4 per cell]
Te  0.246  0.340  0.757 [8 per cell]

Computed properties:
The raw total energy is -5.748 eV/atom. The calculation puts the volume at 27.870 A^3/atom. The spin magnetization is 18.0 μB per cell.

[4]
## LaDyY3 (PBE)

Data for crystalline LaDyY3 at its relaxed geometry.

a = 11.849 Å, b = 10.505 Å, c = 5.561 Å
α = 90.00°, β = 90.00°, γ = 90.00°
Space group Pnma (No. 62)
Unique sites:
La  0.052  0.250  0.001 [4 per cell]
Dy  0.000  0.000  0.500 [4 per cell]
Y  0.169  0.750  0.500 [4 per cell]
Y  0.192  0.564  0.000 [8 per cell]

Computed properties:
As for the formation energy: 189 meV/atom. The excess energy over the best structure of this formula in the dataset is 156 meV per atom. The calculation puts the volume at 34.609 A^3/atom. The spin magnetization is 0.0 μB per cell.

[5]
## HfCr2Ru2 (PBE)

Data for crystalline HfCr2Ru2 at its relaxed geometry.

a = 7.273 Å, b = 7.273 Å, c = 2.782 Å
α = 90.00°, β = 90.00°, γ = 90.00°
Space group P4/mbm (No. 127)
Unique sites:
Hf  0.000  0.000  0.000 [2 per cell]
Cr  0.162  0.338  0.500 [4 per cell]
Ru  0.135  0.635  0.000 [4 per cell]

Computed properties:
As for the formation energy: 94 meV/atom. The excess energy over the best structure of this formula in the dataset is 47 meV per atom. The calculation puts the volume at 14.716 A^3/atom. The spin magnetization is 0.0 μB per cell.

[6]
## Li5NpO6 (PBE)

Data for crystalline Li5NpO6 at its relaxed geometry.

a = 5.264 Å, b = 9.128 Å, c = 5.216 Å
α = 90.00°, β = 109.45°, γ = 90.00°
Space group C2/m (No. 12)
Unique sites:
Li  0.000  0.000  0.000 [2 per cell]
Li  0.000  0.167  0.500 [4 per cell]
Li  0.000  0.318  0.000 [4 per cell]
Np  0.000  0.500  0.500 [2 per cell]
O  0.236  0.500  0.270 [4 per cell]
O  0.237  0.342  0.742 [8 per cell]

Computed properties:
The raw total energy is -6.669 eV/atom. The calculation puts the volume at 9.847 A^3/atom. The spin magnetization is 0.0 μB per cell.